# 1
# PbW4C2S (PBE, relaxed)
# Calculated total energy, eV per formula unit: -75.39
# Calculated volume, A^3/atom: 14.53
data_PbW4C2S
_symmetry_space_group_name_H-M 'P -6 m 2'
_symmetry_Int_Tables_number 187
_symmetry_space_group_name_Hall 'P -6 2'
_cell_length_a 3.2201
_cell_length_b 3.2201
_cell_length_c 12.9442
_cell_angle_alpha 90.00
_cell_angle_beta 90.00
_cell_angle_gamma 120.00
loop_
_atom_site_label
_atom_site_fract_x
_atom_site_fract_y
_atom_site_fract_z
Pb1 0.0000 0.0000 0.0000
W1 0.0000 0.0000 0.3572
W2 0.6667 0.3333 0.1917
C1 0.3333 0.6667 0.2693
S1 0.6667 0.3333 0.5000

# 2
# LaPuSb (PBE, relaxed)
# Calculated total energy, eV per formula unit: -23.76
# Calculated volume, A^3/atom: 32.51
data_LaPuSb
_symmetry_space_group_name_H-M 'F -4 3 m'
_symmetry_Int_Tables_number 216
_symmetry_space_group_name_Hall 'F -4 2 3'
_cell_length_a 7.3067
_cell_length_b 7.3067
_cell_length_c 7.3067
_cell_angle_alpha 90.00
_cell_angle_beta 90.00
_cell_angle_gamma 90.00
loop_
_atom_site_label
_atom_site_fract_x
_atom_site_fract_y
_atom_site_fract_z
La1 0.0000 0.0000 0.0000
Pu1 0.2500 0.2500 0.2500
Sb1 0.0000 0.0000 0.5000

The records above give, respectively, magnetic moment values of 0.00; 7.52 μB per formula unit.